(1)
Computed, not measured: an optimized crystal structure of GaTcPb at the PBE level of DFT.

Summary:
Final energy ... -5.19 eV per atom
ΔE to the lowest computed polymorph ... 0 meV/atom

Cell: 6.405 6.405 6.405 Å, 90.00 90.00 90.00°
Fractional coordinates of all 12 atoms:
Ga1 0.000 0.000 0.000
Ga2 0.000 0.500 0.500
Ga3 0.500 0.000 0.500
Ga4 0.500 0.500 0.000
Tc1 0.250 0.250 0.250
Tc2 0.250 0.750 0.750
Tc3 0.750 0.250 0.750
Tc4 0.750 0.750 0.250
Pb1 0.000 0.000 0.500
Pb2 0.000 0.500 0.000
Pb3 0.500 0.000 0.000
Pb4 0.500 0.500 0.500


(2)
Computed, not measured: an optimized crystal structure of ZrGaTe3Pb at the PBE level of DFT.

Summary:
Final energy ... -4.48 eV per atom

Cell: 8.235 8.235 10.443 Å, 90.00 90.00 151.73°
Fractional coordinates of all 12 atoms:
Zr1 0.000 0.000 0.000
Zr2 0.000 0.000 0.500
Ga1 0.469 0.531 0.750
Ga2 0.531 0.469 0.250
Te1 0.096 0.904 0.750
Te2 0.361 0.639 0.534
Te3 0.361 0.639 0.966
Te4 0.639 0.361 0.034
Te5 0.639 0.361 0.466
Te6 0.904 0.096 0.250
Pb1 0.245 0.755 0.250
Pb2 0.755 0.245 0.750


(3)
Computed, not measured: an optimized crystal structure of Tm5Ga2Pb at the PBE level of DFT.

Summary:
Final energy ... -4.53 eV per atom

Cell: 8.733 8.733 8.733 Å, 126.94 126.94 78.35°
Fractional coordinates of all 16 atoms:
Tm1 0.000 0.000 0.000
Tm2 0.015 0.515 0.817
Tm3 0.199 0.015 0.500
Tm4 0.301 0.801 0.817
Tm5 0.485 0.301 0.500
Tm6 0.500 0.500 0.000
Tm7 0.515 0.699 0.500
Tm8 0.699 0.199 0.183
Tm9 0.801 0.985 0.500
Tm10 0.985 0.485 0.183
Ga1 0.135 0.365 0.500
Ga2 0.365 0.865 0.230
Ga3 0.635 0.135 0.770
Ga4 0.865 0.635 0.500
Pb1 0.250 0.250 0.000
Pb2 0.750 0.750 0.000


(4)
Computed, not measured: an optimized crystal structure of GaPbW at the PBE level of DFT.

Summary:
Final energy ... -5.53 eV per atom
ΔE to the lowest computed polymorph ... 0 meV/atom

Cell: 6.532 6.532 6.532 Å, 90.00 90.00 90.00°
Fractional coordinates of all 12 atoms:
Ga1 0.000 0.000 0.000
Ga2 0.000 0.500 0.500
Ga3 0.500 0.000 0.500
Ga4 0.500 0.500 0.000
Pb1 0.000 0.000 0.500
Pb2 0.000 0.500 0.000
Pb3 0.500 0.000 0.000
Pb4 0.500 0.500 0.500
W1 0.250 0.250 0.250
W2 0.250 0.750 0.750
W3 0.750 0.250 0.750
W4 0.750 0.750 0.250